Density functional theory data (PBE) for crystalline BaNaIN2 at its relaxed geometry.

```
BaNaIN2
1.0
5.2565 0.0000 0.0000
0.0000 5.2565 0.0000
0.0000 0.0000 7.0964
Ba Na I N
1 1 1 2
Cartesian
0.0000 0.0000 0.0000
2.6283 2.6283 3.5482
0.0000 0.0000 3.5482
0.0000 2.6283 0.0000
2.6283 0.0000 0.0000
```

Output
ΔE to the lowest computed polymorph = 0.0 meV per atom
magnetization = 4.0 μB per formula unit
electronic total energy = -17.87 eV for the cell shown
E_form (uncorrected) = 0.7141 eV/atom

Density functional theory data (PBE) for crystalline Li6Cu2Pd at its relaxed geometry.

```
Li6Cu2Pd
1.0
8.1501 0.0000 0.0000
0.0000 8.1501 0.0000
0.0000 0.0000 3.9952
Li Cu Pd
12 4 2
Cartesian
0.0121 2.5688 0.0000
1.2968 6.8533 1.9976
1.5063 4.0872 1.9976
2.5688 0.0121 0.0000
2.7782 2.7782 0.0000
4.0630 6.6439 1.9976
4.0872 1.5063 1.9976
5.3719 5.3719 0.0000
5.5813 8.1380 0.0000
6.6439 4.0630 1.9976
6.8533 1.2968 1.9976
8.1380 5.5813 0.0000
1.3086 1.3086 1.9976
2.7664 5.3837 0.0000
5.3837 2.7664 0.0000
6.8415 6.8415 1.9976
0.0000 0.0000 0.0000
4.0751 4.0751 1.9976
```

Output
ΔE_f = -0.1269 eV/atom
ΔE to the lowest computed polymorph = 13.2 meV per atom
magnetization = 0.0 μB per formula unit
electronic total energy = -52.02 eV for the cell shown

Density functional theory data (PBE) for crystalline KMgAs4 at its relaxed geometry.

```
KMgAs4
1.0
0.0000 4.0928 4.0928
4.0928 0.0000 4.0928
4.0928 4.0928 0.0000
K Mg As
1 1 4
Cartesian
0.0000 0.0000 0.0000
6.1393 6.1393 6.1393
3.1018 3.1018 3.1018
5.0838 5.0838 3.1018
5.0838 3.1018 5.0838
3.1018 5.0838 5.0838
```

Output
ΔE_f = 0.0085 eV/atom
magnetization = 0.0 μB per formula unit
electronic total energy = -21.24 eV for the cell shown

Which value of electronic total energy does entry 2 give? -52.02 eV for the cell shown